(1)
A plane-wave DFT calculation with PBE-GGA was carried out for a geometry-optimized Y3InN structure.

Lattice parameters (Å, degrees): 8.306 8.306 8.306 50.61 50.61 50.61
Element x y z (fractional)
Y: 0.049 0.750 0.451
Y: 0.250 0.549 0.951
Y: 0.451 0.049 0.750
Y: 0.549 0.951 0.250
Y: 0.750 0.451 0.049
Y: 0.951 0.250 0.549
In: 0.000 0.000 0.000
In: 0.500 0.500 0.500
N: 0.250 0.250 0.250
N: 0.750 0.750 0.750

For the raw total energy, the calculation gives -65.05 eV per cell. Its uncorrected formation energy is -414 meV per atom. The total moment is 0.00 μB/cell. The density of states at the Fermi level comes out at 1.2169 states/eV/atom.

***

(2)
A plane-wave DFT calculation with PBE-GGA was carried out for a geometry-optimized NaLa2As2 structure.

Lattice parameters (Å, degrees): 8.504 8.504 3.812 90.00 90.00 90.00
Element x y z (fractional)
Na: 0.000 0.000 0.000
Na: 0.500 0.500 0.000
La: 0.139 0.361 0.000
La: 0.361 0.861 0.000
La: 0.639 0.139 0.000
La: 0.861 0.639 0.000
As: 0.163 0.663 0.500
As: 0.337 0.163 0.500
As: 0.663 0.837 0.500
As: 0.837 0.337 0.500

For the raw total energy, the calculation gives -50.06 eV per cell. The total moment is 0.00 μB/cell. The value obtained for the formation energy is -4.6 eV per formula unit. The density of states at the Fermi level comes out at 0.7019 states/eV/atom. Its energy relative to the lowest polymorph listed for this composition is 93 kJ/mol of formula units.